Entry 1:
The following is a GGA-PBE calculation of AlGaSe3 after structural relaxation, from Alexandria via LeMat-Bulk.

a = 3.749 Å, b = 7.275 Å, c = 10.133 Å
α = 99.65°, β = 90.00°, γ = 90.00°
Fractional positions:
Al 0.750 0.336 0.394
Al 0.250 0.664 0.606
Ga 0.750 0.164 0.806
Ga 0.250 0.836 0.194
Se 0.250 0.105 0.372
Se 0.250 0.568 0.358
Se 0.750 0.895 0.628
Se 0.750 0.432 0.642
Se 0.750 0.752 0.057
Se 0.250 0.248 0.943

Symmetry: P2_1/m
ΔE_f (raw) in eV per atom: -0.61
Raw total energy in eV/atom: -4.058

---

Entry 2:
The following is a GGA-PBE calculation of Al3GaSe after structural relaxation, from Alexandria via LeMat-Bulk.

a = 4.881 Å, b = 4.881 Å, c = 4.881 Å
α = 90.00°, β = 90.00°, γ = 90.00°
Fractional positions:
Ga 0.000 0.000 0.000
Se 0.500 0.500 0.500
Al 0.000 0.500 0.000
Al 0.000 0.000 0.500
Al 0.500 0.000 0.000

Symmetry: Pm-3m
DOS(E_F) in states/eV per atom: 0.41
ΔE_f (raw) in eV per atom: 0.37
E above lowest polymorph in eV per formula unit: 0.00
Raw total energy in eV/atom: -3.182

---

Q: Which of these has the lowest ΔE_f (raw)?
A: AlGaSe3

---

Q: Number 1 is which compound?
A: AlGaSe3

---

Q: Among the records above, which one has the lowest raw total energy?
A: AlGaSe3

---

Q: Look up the raw total energy of the second one.
A: -3.182 eV/atom